No. 1
# LaSm2Si4Ni2Au2 PBE-GGA optimized geometry
data_LaSm2Si4Ni2Au2
_chemical_formula_sum 'La2 Sm4 Si8 Ni4 Au4'
_cell_length_a 4.168
_cell_length_b 4.257
_cell_length_c 24.079
_cell_angle_alpha 90.00
_cell_angle_beta 90.00
_cell_angle_gamma 90.00
_space_group_name_H-M_alt 'I m m m'
_space_group_IT_number 71
_space_group_name_Hall '-I 2 2'
loop_
_atom_site_label
_atom_site_fract_x
_atom_site_fract_y
_atom_site_fract_z
La1 0.000 0.000 0.000
Sm1 0.000 0.500 0.356
Si1 0.000 0.000 0.449
Si2 0.000 0.500 0.185
Ni1 0.000 0.500 0.093
Au1 0.000 0.000 0.249
# VASP energy ... -123.3 eV/cell



No. 2
# LaNpAu PBE-GGA optimized geometry
data_LaNpAu
_chemical_formula_sum 'La4 Np4 Au4'
_cell_length_a 6.912
_cell_length_b 6.912
_cell_length_c 6.912
_cell_angle_alpha 90.00
_cell_angle_beta 90.00
_cell_angle_gamma 90.00
_space_group_name_H-M_alt 'F -4 3 m'
_space_group_IT_number 216
_space_group_name_Hall 'F -4 2 3'
loop_
_atom_site_label
_atom_site_fract_x
_atom_site_fract_y
_atom_site_fract_z
La1 0.000 0.000 0.000
Np1 0.250 0.250 0.250
Au1 0.250 0.250 0.750
# Formation enthalpy at 0 K ... 1.17 eV/f.u.
# VASP energy ... -79.2 eV/cell



Q: Which of these has the lowest VASP energy?
A: LaSm2Si4Ni2Au2



Q: Among the records above, which one has the lowest VASP energy?
A: LaSm2Si4Ni2Au2



Q: Which formula does entry 2 have?
A: LaNpAu



Q: Number 2 is which compound?
A: LaNpAu